Record 1
The following is a DFT calculation (GGA+U) of a relaxed structure of AcHo2WO8.

The structure in POSCAR format:
```
AcHo2WO8
1.0
5.034 -0.035 -0.003
-0.002 5.035 -0.005
0.004 0.008 7.171
O Ac Ho W
8 1 2 1
Direct
0.814 0.187 0.199
0.670 0.671 0.500
0.814 0.187 0.801
0.279 0.278 0.000
0.186 0.813 0.801
0.330 0.329 0.500
0.186 0.813 0.199
0.721 0.722 0.000
0.000 0.000 0.500
0.500 0.500 0.767
0.500 0.500 0.233
0.000 0.000 0.000
```

Calculated values
E ... -94.31 eV/cell
Symmetry ... Cmmm

Record 2
The following is a DFT calculation (GGA+U) of a relaxed structure of AcHoWO6.

The structure in POSCAR format:
```
AcHoWO6
1.0
-3.215 -1.561 3.831
3.838 -3.705 1.711
-0.014 5.192 2.104
O W Ho Ac
6 1 1 1
Direct
0.289 0.296 0.282
0.711 0.296 0.014
0.711 0.718 0.704
0.711 0.986 0.282
0.289 0.986 0.704
0.289 0.718 0.014
0.500 0.000 0.000
0.500 0.667 0.333
0.000 0.333 0.667
```

Calculated values
E ... -72.13 eV/cell
Symmetry ... P312